Entry 1:
Density functional theory data (PBE-GGA) for a relaxed SrZn6Ag6 crystal.

Summary:
The density of states at the Fermi level comes out at 3.94 states/eV/f.u. The formation energy is -0.135 eV/atom.

```
data_SrZn6Ag6
_chemical_formula_sum 'Sr2 Zn12 Ag12'
_cell_length_a 5.2763
_cell_length_b 9.3542
_cell_length_c 9.4241
_cell_angle_alpha 90.00
_cell_angle_beta 90.00
_cell_angle_gamma 90.00
_space_group_name_H-M_alt 'I m m m'
_space_group_IT_number 71
_space_group_name_Hall '-I 2 2'
loop_
_atom_site_label
_atom_site_fract_x
_atom_site_fract_y
_atom_site_fract_z
Sr1 0.0000 0.0000 0.0000
Zn1 0.0000 0.5000 0.2705
Zn2 0.2500 0.2500 0.2500
Ag1 0.0000 0.0000 0.3478
Ag2 0.0000 0.2918 0.5000
Ag3 0.0000 0.3500 0.0000
```

Entry 2:
Density functional theory data (PBE-GGA) for a relaxed ScTeCl2 crystal.

Summary:
The calculation puts the excess energy over the best structure of this formula in the dataset at 1.0473 eV/atom. The density of states at the Fermi level comes out at 3.35 states/eV/f.u. Its formation energy (no corrections) is -0.462 eV per atom.

```
data_ScTeCl2
_chemical_formula_sum 'Sc2 Te2 Cl4'
_cell_length_a 6.1954
_cell_length_b 9.0595
_cell_length_c 3.3010
_cell_angle_alpha 90.00
_cell_angle_beta 90.00
_cell_angle_gamma 90.00
_space_group_name_H-M_alt 'C m m m'
_space_group_IT_number 65
_space_group_name_Hall '-C 2 2'
loop_
_atom_site_label
_atom_site_fract_x
_atom_site_fract_y
_atom_site_fract_z
Sc1 0.0000 0.0000 0.0000
Te1 0.0000 0.5000 0.0000
Cl1 0.2500 0.2500 0.5000
```

Entry 3:
Density functional theory data (PBE-GGA) for a relaxed RbScAsO2 crystal.

Summary:
The density of states at the Fermi level comes out at 2.72 states/eV/f.u. Its formation energy (no corrections) is 0.512 eV per atom.

```
data_RbScAsO2
_chemical_formula_sum 'Rb1 Sc1 As1 O2'
_cell_length_a 4.2626
_cell_length_b 4.2626
_cell_length_c 5.7995
_cell_angle_alpha 90.00
_cell_angle_beta 90.00
_cell_angle_gamma 90.00
_space_group_name_H-M_alt 'P 4/m m m'
_space_group_IT_number 123
_space_group_name_Hall '-P 4 2'
loop_
_atom_site_label
_atom_site_fract_x
_atom_site_fract_y
_atom_site_fract_z
Rb1 0.0000 0.0000 0.0000
Sc1 0.5000 0.5000 0.5000
As1 0.0000 0.0000 0.5000
O1 0.0000 0.5000 0.0000
```